# BaAs2Br (meta-GGA SCAN, single point on PBEsol structure)
data_BaAs2Br
_chemical_formula_sum 'Ba1 As2 Br1'
_space_group_name_H-M_alt 'P 4/m m m'
_space_group_IT_number 123
_space_group_name_Hall '-P 4 2'
_cell_length_a 4.6771
_cell_length_b 4.6771
_cell_length_c 6.1955
_cell_angle_alpha 90.00
_cell_angle_beta 90.00
_cell_angle_gamma 90.00
loop_
_atom_site_label
_atom_site_type_symbol
_atom_site_fract_x
_atom_site_fract_y
_atom_site_fract_z
Ba1 Ba 0.0000 0.0000 0.0000
As1 As 0.5000 0.5000 0.1822
Br1 Br 0.0000 0.0000 0.5000
# E_tot	-102.35	eV/cell
# excess energy over the best structure of this formula in the dataset	0.000	eV/atom
# formation energy from raw total energies	-0.739	eV/atom
# magnetization	0.00	μB/atom